TiTeSeN2: optimized geometry, PBE.

The structure belongs to space group P4/mmm (No. 123); the cell edges are 4.005, 4.005 and 5.442 Å and the angles 90.00°, 90.00° and 90.00°. Symmetry generates all atoms from Ti at (0.000, 0.000, 0.000), Te at (0.500, 0.500, 0.500), Se at (0.500, 0.500, 0.000) and N at (0.000, 0.500, 0.500).

Its magnetization is 0.4 μB/f.u. As for the volume: 87.3 Å³ per cell. Its uncorrected formation energy is 1.202 eV/atom.

TiTeSeN2: optimized geometry, PBE.

The structure belongs to space group P4/mmm (No. 123); the cell edges are 3.916, 3.916 and 6.259 Å and the angles 90.00°, 90.00° and 90.00°. Symmetry generates all atoms from Ti at (0.000, 0.000, 0.000), Te at (0.000, 0.000, 0.500), Se at (0.500, 0.500, 0.500) and N at (0.000, 0.500, 0.000).

Its magnetization is 0.0 μB/f.u. As for the volume: 96.0 Å³ per cell. Its uncorrected formation energy is 0.446 eV/atom.

TiTeSeN2: optimized geometry, PBE.

The structure belongs to space group P4/mmm (No. 123); the cell edges are 3.816, 3.816 and 6.510 Å and the angles 90.00°, 90.00° and 90.00°. Symmetry generates all atoms from Ti at (0.000, 0.000, 0.000), Te at (0.500, 0.500, 0.000), Se at (0.500, 0.500, 0.500) and N at (0.000, 0.500, 0.500).

Its magnetization is 0.0 μB/f.u. As for the volume: 94.8 Å³ per cell. Its uncorrected formation energy is 1.432 eV/atom.

TlTeSeN2: optimized geometry, PBE.

The structure belongs to space group P4/mmm (No. 123); the cell edges are 4.096, 4.096 and 5.888 Å and the angles 90.00°, 90.00° and 90.00°. Symmetry generates all atoms from Tl at (0.000, 0.000, 0.000), Te at (0.500, 0.500, 0.500), Se at (0.500, 0.500, 0.000) and N at (0.000, 0.500, 0.500).

Its magnetization is 0.0 μB/f.u. As for the volume: 98.8 Å³ per cell. Its uncorrected formation energy is 1.148 eV/atom.

TlTe2SeN: optimized geometry, PBE.

The structure belongs to space group P4/mmm (No. 123); the cell edges are 6.250, 6.250 and 3.591 Å and the angles 90.00°, 90.00° and 90.00°. Symmetry generates all atoms from Tl at (0.000, 0.000, 0.000), Te at (0.000, 0.500, 0.500), Se at (0.500, 0.500, 0.500) and N at (0.500, 0.500, 0.000).

Its magnetization is 0.0 μB/f.u. As for the volume: 140.3 Å³ per cell. Its uncorrected formation energy is 0.695 eV/atom.

TlTeSeN2: optimized geometry, PBE.

The structure belongs to space group P4/mmm (No. 123); the cell edges are 4.363, 4.363 and 6.126 Å and the angles 90.00°, 90.00° and 90.00°. Symmetry generates all atoms from Tl at (0.000, 0.000, 0.000), Te at (0.500, 0.500, 0.500), Se at (0.000, 0.000, 0.500) and N at (0.000, 0.500, 0.000).

Its magnetization is 3.8 μB/f.u. As for the volume: 116.6 Å³ per cell. Its uncorrected formation energy is 1.729 eV/atom.

TlTeSeN2: optimized geometry, PBE.

The structure belongs to space group P4/mmm (No. 123); the cell edges are 4.324, 4.324 and 6.624 Å and the angles 90.00°, 90.00° and 90.00°. Symmetry generates all atoms from Tl at (0.000, 0.000, 0.000), Te at (0.000, 0.000, 0.500), Se at (0.500, 0.500, 0.500) and N at (0.000, 0.500, 0.000).

Its magnetization is 3.7 μB/f.u. As for the volume: 123.9 Å³ per cell. Its uncorrected formation energy is 1.757 eV/atom.

TlTe2SeN: optimized geometry, PBE.

The structure belongs to space group P4/mmm (No. 123); the cell edges are 5.898, 5.898 and 4.196 Å and the angles 90.00°, 90.00° and 90.00°. Symmetry generates all atoms from Tl at (0.000, 0.000, 0.000), Te at (0.000, 0.500, 0.000), Se at (0.500, 0.500, 0.500) and N at (0.000, 0.000, 0.500).

Its magnetization is 1.9 μB/f.u. As for the volume: 146.0 Å³ per cell. Its uncorrected formation energy is 1.313 eV/atom.

TlTeSeN2: optimized geometry, PBE.

The structure belongs to space group P4/mmm (No. 123); the cell edges are 4.189, 4.189 and 5.785 Å and the angles 90.00°, 90.00° and 90.00°. Symmetry generates all atoms from Tl at (0.000, 0.000, 0.000), Te at (0.500, 0.500, 0.000), Se at (0.500, 0.500, 0.500) and N at (0.000, 0.500, 0.500).

Its magnetization is 2.1 μB/f.u. As for the volume: 101.5 Å³ per cell. Its uncorrected formation energy is 1.523 eV/atom.

VTeSeN2: optimized geometry, PBE.

The structure belongs to space group P4/mmm (No. 123); the cell edges are 3.956, 3.956 and 5.695 Å and the angles 90.00°, 90.00° and 90.00°. Symmetry generates all atoms from V at (0.000, 0.000, 0.000), Te at (0.500, 0.500, 0.500), Se at (0.500, 0.500, 0.000) and N at (0.000, 0.500, 0.500).

Its magnetization is 0.4 μB/f.u. As for the volume: 89.1 Å³ per cell. Its uncorrected formation energy is 1.558 eV/atom.

VTeSeN2: optimized geometry, PBE.

The structure belongs to space group P4/mmm (No. 123); the cell edges are 3.834, 3.834 and 5.909 Å and the angles 90.00°, 90.00° and 90.00°. Symmetry generates all atoms from V at (0.000, 0.000, 0.000), Te at (0.000, 0.000, 0.500), Se at (0.500, 0.500, 0.500) and N at (0.000, 0.500, 0.000).

Its magnetization is 0.6 μB/f.u. As for the volume: 86.9 Å³ per cell. Its uncorrected formation energy is 0.489 eV/atom.

VTeSeN2: optimized geometry, PBE.

The structure belongs to space group P4/mmm (No. 123); the cell edges are 3.901, 3.901 and 5.286 Å and the angles 90.00°, 90.00° and 90.00°. Symmetry generates all atoms from V at (0.000, 0.000, 0.000), Te at (0.500, 0.500, 0.500), Se at (0.000, 0.000, 0.500) and N at (0.000, 0.500, 0.000).

Its magnetization is 0.1 μB/f.u. As for the volume: 80.4 Å³ per cell. Its uncorrected formation energy is 0.537 eV/atom.

VTeSe2N: optimized geometry, PBE.

The structure belongs to space group P4/mmm (No. 123); the cell edges are 5.078, 5.078 and 3.667 Å and the angles 90.00°, 90.00° and 90.00°. Symmetry generates all atoms from V at (0.000, 0.000, 0.000), Te at (0.500, 0.500, 0.500), Se at (0.000, 0.500, 0.000) and N at (0.000, 0.000, 0.500).

Its magnetization is 0.0 μB/f.u. As for the volume: 94.6 Å³ per cell. Its uncorrected formation energy is 0.077 eV/atom.

VTeSeN2: optimized geometry, PBE.

The structure belongs to space group P4/mmm (No. 123); the cell edges are 3.777, 3.777 and 7.229 Å and the angles 90.00°, 90.00° and 90.00°. Symmetry generates all atoms from V at (0.000, 0.000, 0.000), Te at (0.500, 0.500, 0.000), Se at (0.500, 0.500, 0.500) and N at (0.000, 0.500, 0.500).

Its magnetization is 0.2 μB/f.u. As for the volume: 103.2 Å³ per cell. Its uncorrected formation energy is 1.712 eV/atom.

VTeSe2N: optimized geometry, PBE.

The structure belongs to space group P4/mmm (No. 123); the cell edges are 5.371, 5.371 and 3.886 Å and the angles 90.00°, 90.00° and 90.00°. Symmetry generates all atoms from V at (0.000, 0.000, 0.000), Te at (0.500, 0.500, 0.500), Se at (0.000, 0.500, 0.500) and N at (0.500, 0.500, 0.000).

Its magnetization is 0.2 μB/f.u. As for the volume: 112.1 Å³ per cell. Its uncorrected formation energy is 1.266 eV/atom.

TeWSeN2: optimized geometry, PBE.

The structure belongs to space group P4/mmm (No. 123); the cell edges are 3.896, 3.896 and 6.705 Å and the angles 90.00°, 90.00° and 90.00°. Symmetry generates all atoms from Te at (0.000, 0.000, 0.000), W at (0.500, 0.500, 0.500), Se at (0.000, 0.000, 0.500) and N at (0.000, 0.500, 0.000).

Its magnetization is 3.9 μB/f.u. As for the volume: 101.8 Å³ per cell. Its uncorrected formation energy is 2.001 eV/atom.

TeWSe2N: optimized geometry, PBE.

The structure belongs to space group P4/mmm (No. 123); the cell edges are 5.137, 5.137 and 3.837 Å and the angles 90.00°, 90.00° and 90.00°. Symmetry generates all atoms from Te at (0.000, 0.000, 0.000), W at (0.500, 0.500, 0.500), Se at (0.000, 0.500, 0.500) and N at (0.500, 0.500, 0.000).

Its magnetization is 0.0 μB/f.u. As for the volume: 101.3 Å³ per cell. Its uncorrected formation energy is 0.268 eV/atom.

TeWSeN2: optimized geometry, PBE.

The structure belongs to space group P4/mmm (No. 123); the cell edges are 4.012, 4.012 and 5.360 Å and the angles 90.00°, 90.00° and 90.00°. Symmetry generates all atoms from Te at (0.000, 0.000, 0.000), W at (0.500, 0.500, 0.000), Se at (0.000, 0.000, 0.500) and N at (0.000, 0.500, 0.500).

Its magnetization is 1.5 μB/f.u. As for the volume: 86.3 Å³ per cell. Its uncorrected formation energy is 2.221 eV/atom.

TeWSe2N: optimized geometry, PBE.

The structure belongs to space group P4/mmm (No. 123); the cell edges are 5.365, 5.365 and 3.870 Å and the angles 90.00°, 90.00° and 90.00°. Symmetry generates all atoms from Te at (0.000, 0.000, 0.000), W at (0.500, 0.500, 0.500), Se at (0.000, 0.500, 0.000) and N at (0.000, 0.000, 0.500).

Its magnetization is 3.4 μB/f.u. As for the volume: 111.4 Å³ per cell. Its uncorrected formation energy is 1.678 eV/atom.

TeWSeN2: optimized geometry, PBE.

The structure belongs to space group P4/mmm (No. 123); the cell edges are 3.995, 3.995 and 5.379 Å and the angles 90.00°, 90.00° and 90.00°. Symmetry generates all atoms from Te at (0.000, 0.000, 0.000), W at (0.500, 0.500, 0.500), Se at (0.500, 0.500, 0.000) and N at (0.000, 0.500, 0.500).

Its magnetization is 0.0 μB/f.u. As for the volume: 85.9 Å³ per cell. Its uncorrected formation energy is 0.553 eV/atom.

TeWSeN2: optimized geometry, PBE.

The structure belongs to space group P4/mmm (No. 123); the cell edges are 3.936, 3.936 and 5.961 Å and the angles 90.00°, 90.00° and 90.00°. Symmetry generates all atoms from Te at (0.000, 0.000, 0.000), W at (0.000, 0.000, 0.500), Se at (0.500, 0.500, 0.000) and N at (0.000, 0.500, 0.500).

Its magnetization is 0.0 μB/f.u. As for the volume: 92.4 Å³ per cell. Its uncorrected formation energy is 0.490 eV/atom.

Y8Te4Se3N: optimized geometry, PBE.

The structure belongs to space group R-3m (No. 166, hexagonal axes); the cell edges are 8.2428, 8.2428 and 20.9019 Å and the angles 90.00°, 90.00° and 120.00°. Symmetry generates all atoms from Y at (0.0000, 0.0000, 0.2396), Y at (0.0392, 0.5196, 0.2332), Te at (0.0000, 0.0000, 0.0000), Te at (0.0000, 0.5000, 0.0000), Se at (0.0000, 0.5000, 0.5000) and N at (0.0000, 0.0000, 0.5000).

Its magnetization is 0.0 μB/f.u. As for the volume: 1229.9 Å³ per cell. Its uncorrected formation energy is -1.502 eV/atom.

YTeSe2N: optimized geometry, PBE.

The structure belongs to space group P4/mmm (No. 123); the cell edges are 5.422, 5.422 and 3.999 Å and the angles 90.00°, 90.00° and 90.00°. Symmetry generates all atoms from Y at (0.000, 0.000, 0.000), Te at (0.500, 0.500, 0.500), Se at (0.000, 0.500, 0.500) and N at (0.500, 0.500, 0.000).

Its magnetization is 0.0 μB/f.u. As for the volume: 117.6 Å³ per cell. Its uncorrected formation energy is 0.095 eV/atom.

YTe2SeN: optimized geometry, PBE.

The structure belongs to space group P4/mmm (No. 123); the cell edges are 5.998, 5.998 and 4.073 Å and the angles 90.00°, 90.00° and 90.00°. Symmetry generates all atoms from Y at (0.000, 0.000, 0.000), Te at (0.000, 0.500, 0.000), Se at (0.500, 0.500, 0.500) and N at (0.000, 0.000, 0.500).

Its magnetization is 0.4 μB/f.u. As for the volume: 146.5 Å³ per cell. Its uncorrected formation energy is 0.466 eV/atom.

YTeSe2N: optimized geometry, PBE.

The structure belongs to space group P4/mmm (No. 123); the cell edges are 5.588, 5.588 and 4.113 Å and the angles 90.00°, 90.00° and 90.00°. Symmetry generates all atoms from Y at (0.000, 0.000, 0.000), Te at (0.500, 0.500, 0.500), Se at (0.000, 0.500, 0.000) and N at (0.000, 0.000, 0.500).

Its magnetization is 0.0 μB/f.u. As for the volume: 128.4 Å³ per cell. Its uncorrected formation energy is 0.253 eV/atom.

YTe2SeN: optimized geometry, PBE.

The structure belongs to space group P4/mmm (No. 123); the cell edges are 5.622, 5.622 and 3.837 Å and the angles 90.00°, 90.00° and 90.00°. Symmetry generates all atoms from Y at (0.000, 0.000, 0.000), Te at (0.000, 0.500, 0.500), Se at (0.500, 0.500, 0.500) and N at (0.500, 0.500, 0.000).

Its magnetization is 0.0 μB/f.u. As for the volume: 121.3 Å³ per cell. Its uncorrected formation energy is 0.271 eV/atom.

Y8Te3Se3N: optimized geometry, PBE.

The structure belongs to space group R-3m (No. 166, hexagonal axes); the cell edges are 8.2035, 8.2035 and 21.0371 Å and the angles 90.00°, 90.00° and 120.00°. Symmetry generates all atoms from Y at (0.0000, 0.0000, 0.2381), Y at (0.0468, 0.5234, 0.2316), Te at (0.0000, 0.5000, 0.0000), Se at (0.0000, 0.5000, 0.5000) and N at (0.0000, 0.0000, 0.5000).

Its magnetization is 0.0 μB/f.u. As for the volume: 1226.1 Å³ per cell. Its uncorrected formation energy is -1.395 eV/atom.

ZnTe2SeN: optimized geometry, PBE.

The structure belongs to space group P4/mmm (No. 123); the cell edges are 5.743, 5.743 and 3.665 Å and the angles 90.00°, 90.00° and 90.00°. Symmetry generates all atoms from Zn at (0.000, 0.000, 0.000), Te at (0.000, 0.500, 0.500), Se at (0.500, 0.500, 0.500) and N at (0.500, 0.500, 0.000).

Its magnetization is 0.0 μB/f.u. As for the volume: 120.9 Å³ per cell. Its uncorrected formation energy is 0.934 eV/atom.